No. 1
The following is a GGA-PBE calculation of an optimized crystal structure of Rb2NaSb2Pt, from Alexandria via LeMat-Bulk.

a = 9.5268 Å, b = 9.5268 Å, c = 9.5268 Å
α = 135.93°, β = 65.08°, γ = 134.66°
With the nearest neighbours (Å) after each atom.
Atoms (fractional coordinates):
Rb (0.1700, 0.2254, 0.3954)  4 Sb 3.59-3.96, 2 Na 3.66, 2 Pt 3.83
Rb (0.3300, 0.7254, 0.0554)  4 Sb 3.59-3.96, 2 Na 3.66, 2 Pt 3.83
Rb (0.6700, 0.2746, 0.9446)  4 Sb 3.59-3.96, 2 Na 3.66, 2 Pt 3.83
Rb (0.8300, 0.7746, 0.6046)  4 Sb 3.59-3.96, 2 Na 3.66, 2 Pt 3.83
Na (0.2500, 0.2500, 0.0000)  4 Sb 3.19
Na (0.7500, 0.7500, 0.0000)  4 Sb 3.19
Sb (0.0864, 0.6909, 0.7773)  2 Pt 2.68
Sb (0.4136, 0.1909, 0.6046)  2 Pt 2.68
Sb (0.5864, 0.8091, 0.3954)  2 Pt 2.68
Sb (0.9136, 0.3091, 0.2227)  2 Pt 2.68
Pt (0.2500, 0.7500, 0.5000)  4 Sb 2.68
Pt (0.7500, 0.2500, 0.5000)  4 Sb 2.68

Summary:
formation energy from raw total energies: -0.379 eV per atom

=====

No. 2
The following is a GGA-PBE calculation of an optimized crystal structure of RbNa2SnPt, from Alexandria via LeMat-Bulk.

a = 5.7011 Å, b = 5.7011 Å, c = 5.1048 Å
α = 90.00°, β = 90.00°, γ = 90.00°
With the nearest neighbours (Å) after each atom.
Atoms (fractional coordinates):
Rb (0.0000, 0.0000, 0.0000)  8 Na 3.83, 4 Sn 4.03
Na (0.0000, 0.5000, 0.5000)  2 Pt 2.85
Na (0.5000, 0.0000, 0.5000)  2 Pt 2.85
Sn (0.5000, 0.5000, 0.0000)  2 Pt 2.55
Pt (0.5000, 0.5000, 0.5000)  2 Sn 2.55, 4 Na 2.85

=====

No. 3
The following is a GGA-PBE calculation of an optimized crystal structure of Rb2NaSnPt, from Alexandria via LeMat-Bulk.

a = 6.5678 Å, b = 6.5678 Å, c = 5.1289 Å
α = 90.00°, β = 90.00°, γ = 90.00°
With the nearest neighbours (Å) after each atom.
Atoms (fractional coordinates):
Rb (0.0000, 0.5000, 0.0000)  2 Pt 3.28
Rb (0.5000, 0.0000, 0.0000)  2 Pt 3.28
Na (0.0000, 0.0000, 0.5000)  8 Rb 4.17, 4 Sn 4.64
Sn (0.5000, 0.5000, 0.5000)  2 Pt 2.56
Pt (0.5000, 0.5000, 0.0000)  2 Sn 2.56

=====

Asked for uncorrected energy across the records above, the calculation gives -3.302 -2.976 -2.741 eV per atom in order.